# 1
The following is a PBE calculation of a relaxed Tb2Er4MgSc crystal, from Alexandria via LeMat-Bulk.

POSCAR file:
```
Tb2Er4MgSc
1.0
-4.181 2.109 -1.444
-2.554 -3.319 2.545
-2.322 2.496 10.366
Er Sc Mg Tb
4 1 1 2
Cartesian
-4.474 2.072 7.661 Er
-4.583 -0.785 3.806 Er
-5.398 1.929 1.813 Er
-3.659 -0.642 9.654 Er
-2.438 -0.412 6.456 Sc
-3.368 -0.605 0.550 Mg
-2.554 -3.319 2.545 Tb
-3.252 2.303 4.461 Tb
```

The calculation puts the calculated formation energy at 34 meV/atom. The crystal system is tetragonal. The raw total energy comes out at -4.40 eV per atom.



# 2
The following is a PBE calculation of a relaxed Zn2NiOs crystal, from Alexandria via LeMat-Bulk.

POSCAR file:
```
Zn2NiOs
1.0
-1.246 0.130 2.310
-0.945 -3.675 -0.303
4.499 -1.364 2.503
Os Ni Zn
1 1 2
Cartesian
2.250 -2.786 2.866 Os
2.256 -0.684 1.255 Ni
4.487 -1.360 2.497 Zn
0.063 -2.123 1.648 Zn
```

The calculation puts the calculated formation energy at 125 meV/atom. The crystal system is orthorhombic. The raw total energy comes out at -4.76 eV per atom.



# 3
The following is a PBE calculation of a relaxed SrYTl2 crystal, from Alexandria via LeMat-Bulk.

POSCAR file:
```
SrYTl2
1.0
-0.117 2.156 -3.138
-3.693 0.702 0.618
2.234 7.363 4.976
Tl Sr Y
2 1 1
Cartesian
0.074 0.244 0.165 Tl
-1.366 3.207 -0.059 Tl
-0.176 7.128 2.591 Sr
1.009 3.325 2.247 Y
```

The calculation puts the calculated formation energy at -103 meV/atom. The crystal system is tetragonal. The raw total energy comes out at -3.32 eV per atom.



# 4
The following is a PBE calculation of a relaxed NbPRuCl2 crystal, from Alexandria via LeMat-Bulk.

POSCAR file:
```
NbPRuCl2
1.0
4.784 0.000 0.000
0.000 4.784 0.000
0.000 0.000 5.002
Cl Ru Nb P
2 1 1 1
Cartesian
0.000 2.392 0.000 Cl
2.392 0.000 0.000 Cl
2.392 2.392 2.501 Ru
0.000 0.000 0.000 Nb
0.000 0.000 2.501 P
```

The calculation puts the energy above the most stable polymorph in this dataset at 0.000 eV per atom. The uncorrected formation energy comes out at 599 meV per atom. The crystal system is tetragonal. The raw total energy comes out at -5.09 eV per atom.



# 5
The following is a PBE calculation of a relaxed BaSi2Ni2 crystal, from Alexandria via LeMat-Bulk.

POSCAR file:
```
BaSi2Ni2
1.0
-7.156 -3.025 -0.685
0.039 -1.810 7.586
-1.204 2.702 0.651
Ni Si Ba
4 4 2
Cartesian
-0.798 -1.043 2.854 Ni
-4.387 -2.062 0.442 Ni
-6.319 -3.792 4.048 Ni
-2.731 -2.773 6.460 Ni
-5.039 -2.123 6.537 Si
-1.471 -0.157 4.980 Si
-3.282 -0.010 1.015 Si
-6.851 -1.975 2.573 Si
0.000 0.000 0.000 Ba
-3.559 -2.417 3.451 Ba
```

The uncorrected formation energy comes out at -4 meV per atom. The crystal system is tetragonal. The raw total energy comes out at -4.87 eV per atom.



# 6
The following is a PBE calculation of a relaxed RuRh2AuN crystal, from Alexandria via LeMat-Bulk.

POSCAR file:
```
RuRh2AuN
1.0
4.140 0.000 0.000
0.000 4.140 0.000
0.000 0.000 4.011
Rh N Ru Au
2 1 1 1
Cartesian
2.070 0.000 0.000 Rh
0.000 2.070 0.000 Rh
0.000 0.000 0.000 N
0.000 0.000 2.005 Ru
2.070 2.070 2.005 Au
```

The uncorrected formation energy comes out at 282 meV per atom. The crystal system is tetragonal. The raw total energy comes out at -6.83 eV per atom.